{"formula": "Sc12PaIn3", "functional": "PBE", "state": "optimized geometry", "lattice": [[4.533, 0.000, 0.000], [0.000, 4.533, 0.000], [0.000, 0.000, 18.153]], "species": ["Sc", "Sc", "Sc", "Sc", "Sc", "Sc", "Sc", "Sc", "Sc", "Sc", "Sc", "Sc", "Pa", "In", "In", "In"], "frac_coords": [[0.000, 0.000, 0.000], [0.000, 0.000, 0.247], [0.000, 0.000, 0.500], [0.000, 0.000, 0.753], [0.000, 0.500, 0.125], [0.000, 0.500, 0.376], [0.000, 0.500, 0.624], [0.000, 0.500, 0.875], [0.500, 0.000, 0.125], [0.500, 0.000, 0.376], [0.500, 0.000, 0.624], [0.500, 0.000, 0.875], [0.500, 0.500, 0.500], [0.500, 0.500, 0.000], [0.500, 0.500, 0.248], [0.500, 0.500, 0.752]], "total_magnetization_mub_per_fu": 3.36, "sg": "P4/mmm, No. 123", "ef_ev_per_atom": -0.171}